Crystalline Rb2TaMnI6 at its relaxed geometry, computed with GGA-PBE.

Calculated values
DFT total energy in eV/atom: -3.789
Space group: Fm-3m, No. 225
M_tot in μB/cell: 7.45
Formation energy (no corrections) in eV/f.u.: -5.6

Cell lengths 8.2061, 8.2061, 8.2061 Å; angles 60.00, 60.00, 60.00 degrees
Atoms (fractional coordinates):
Rb 0.2500 0.2500 0.2500
Rb 0.7500 0.7500 0.7500
Ta 0.0000 0.0000 0.0000
Mn 0.5000 0.5000 0.5000
I 0.2487 0.2487 0.7513
I 0.2487 0.7513 0.2487
I 0.2487 0.7513 0.7513
I 0.7513 0.2487 0.2487
I 0.7513 0.2487 0.7513
I 0.7513 0.7513 0.2487



Crystalline CdPd at its relaxed geometry, computed with GGA-PBE.

Calculated values
DFT total energy in eV/atom: -2.593
Space group: F-43m, No. 216
Energy of formation from the pure elements in kJ/mol of atoms: 44.5
M_tot in μB/cell: 0.00

Cell lengths 4.3158, 4.3158, 4.3158 Å; angles 60.00, 60.00, 60.00 degrees
Atoms (fractional coordinates):
Cd 0.0000 0.0000 0.0000
Pd 0.2500 0.2500 0.2500